(1)
The following is a DFT calculation (PBE) of a relaxed SbIrPt crystal.

Structure (POSCAR):
```
SbIrPt
1.0
-1.514 1.841 4.680
1.514 -1.841 4.680
1.514 1.841 -4.680
Sb Ir Pt
1 1 1
Cartesian
0.000 0.000 0.000
0.000 0.000 6.064
0.000 0.000 3.060
```

## Properties
The value obtained for the raw total energy is -6.170 eV/atom. Its crystal system is orthorhombic. Its formation energy (no corrections) is 172 meV per atom. The calculation puts the total magnetization at 0.000 μB/f.u. The space-group type is No. 44. The density of states at the Fermi level comes out at 2.69 states/eV/f.u.

(2)
The following is a DFT calculation (PBE) of a relaxed SbIr2Pt crystal.

Structure (POSCAR):
```
SbIr2Pt
1.0
2.981 0.000 0.000
0.000 4.720 0.000
-0.074 0.000 4.780
Sb Ir Pt
1 2 1
Cartesian
0.000 0.000 0.000
0.721 2.360 3.563
2.186 2.360 1.217
1.453 0.000 2.390
```

## Properties
The value obtained for the raw total energy is -6.704 eV/atom. Its crystal system is monoclinic. Its formation energy (no corrections) is 268 meV per atom. The calculation puts the total magnetization at 0.000 μB/f.u. The space-group type is No. 10. The density of states at the Fermi level comes out at 3.14 states/eV/f.u.

(3)
The following is a DFT calculation (PBE) of a relaxed SbIrPt crystal.

Structure (POSCAR):
```
SbIrPt
1.0
3.212 0.000 0.000
-1.606 2.782 0.000
0.000 0.000 6.049
Sb Ir Pt
1 1 1
Cartesian
0.000 0.000 0.000
1.606 0.927 1.939
0.000 1.855 4.039
```

## Properties
The value obtained for the raw total energy is -6.097 eV/atom. Its crystal system is trigonal. Its formation energy (no corrections) is 244 meV per atom. The calculation puts the total magnetization at 0.000 μB/f.u. The space-group type is No. 156. The density of states at the Fermi level comes out at 3.12 states/eV/f.u.

(4)
The following is a DFT calculation (PBE) of a relaxed SbIr2Pt crystal.

Structure (POSCAR):
```
SbIr2Pt
1.0
-2.085 2.085 3.757
2.085 -2.085 3.757
2.085 2.085 -3.757
Sb Ir Pt
1 2 1
Cartesian
0.000 0.000 0.000
2.085 0.000 1.878
0.000 2.085 1.878
0.000 0.000 3.757
```

## Properties
The value obtained for the raw total energy is -6.817 eV/atom. Its crystal system is tetragonal. Its formation energy (no corrections) is 154 meV per atom. The calculation puts the total magnetization at 0.000 μB/f.u. The space-group type is No. 139. The density of states at the Fermi level comes out at 5.85 states/eV/f.u.